The following is a DFT calculation (PBE-GGA) of a relaxed YCdIn crystal.

The value obtained for the total magnetization is 0.36 μB/f.u. The theoretical density is 6.89 g/cm3. The value obtained for the total energy is -3.66 eV per atom.

The space group is I4mm (No. 107) and the conventional cell measures 3.511, 3.511 and 12.360 Å, with angles of 90.00, 90.00 and 90.00 degrees. Symmetry generates all atoms from Y at (0.000, 0.000, 0.000), Cd at (0.000, 0.000, 0.670) and In at (0.000, 0.000, 0.324).